No. 1
# LiZrIr2 PBE optimized geometry
data_LiZrIr2
_space_group_name_H-M_alt 'P 1'
_space_group_IT_number 1
_space_group_name_Hall 'P 1'
_cell_length_a 9.8664
_cell_length_b 9.8664
_cell_length_c 9.8664
_cell_angle_alpha 16.34
_cell_angle_beta 16.34
_cell_angle_gamma 16.34
loop_
_atom_site_label
_atom_site_type_symbol
_atom_site_fract_x
_atom_site_fract_y
_atom_site_fract_z
Ir1 Ir 0.9935 0.9935 0.9935
Ir2 Ir 0.2517 0.2517 0.2517
Li1 Li 0.5108 0.5108 0.5108
Zr1 Zr 0.7439 0.7439 0.7439
# Energy above the most stable polymorph in this dataset = 639 meV per atom
# Energy of formation from the pure elements = 0.071 eV/atom
# Uncorrected energy = -6.98 eV per atom
# Magnetization = 0.0 μB/f.u.



No. 2
# SmUNi10 PBE optimized geometry
data_SmUNi10
_space_group_name_H-M_alt 'P 1'
_space_group_IT_number 1
_space_group_name_Hall 'P 1'
_cell_length_a 3.9854
_cell_length_b 4.8718
_cell_length_c 8.4045
_cell_angle_alpha 90.00
_cell_angle_beta 90.00
_cell_angle_gamma 90.00
loop_
_atom_site_label
_atom_site_type_symbol
_atom_site_fract_x
_atom_site_fract_y
_atom_site_fract_z
Sm1 Sm 0.0000 0.0000 0.0000
U1 U 0.0000 0.5000 0.5000
Ni1 Ni 0.0000 0.0000 0.3402
Ni2 Ni 0.0000 0.5000 0.8194
Ni3 Ni 0.0000 0.5000 0.1806
Ni4 Ni 0.0000 0.0000 0.6598
Ni5 Ni 0.5000 0.0000 0.5000
Ni6 Ni 0.5000 0.5000 0.0000
Ni7 Ni 0.5000 0.2541 0.2560
Ni8 Ni 0.5000 0.7459 0.7440
Ni9 Ni 0.5000 0.7459 0.2560
Ni10 Ni 0.5000 0.2541 0.7440
# Energy of formation from the pure elements = -0.264 eV/atom
# Uncorrected energy = -6.42 eV per atom
# Magnetization = 0.9 μB/f.u.



No. 3
# BeIr2 PBE optimized geometry
data_BeIr2
_space_group_name_H-M_alt 'P 1'
_space_group_IT_number 1
_space_group_name_Hall 'P 1'
_cell_length_a 10.2926
_cell_length_b 10.2926
_cell_length_c 10.2926
_cell_angle_alpha 164.64
_cell_angle_beta 164.64
_cell_angle_gamma 21.79
loop_
_atom_site_label
_atom_site_type_symbol
_atom_site_fract_x
_atom_site_fract_y
_atom_site_fract_z
Be1 Be 0.0000 0.0000 0.0000
Be2 Be 0.7500 0.2500 0.5000
Ir1 Ir 0.5696 0.5696 0.0000
Ir2 Ir 0.1804 0.6804 0.5000
Ir3 Ir 0.4304 0.4304 0.0000
Ir4 Ir 0.3196 0.8196 0.5000
# Energy of formation from the pure elements = -0.163 eV/atom
# Uncorrected energy = -7.31 eV per atom
# Magnetization = 0.0 μB/f.u.



No. 4
# ScBiAsN2 PBE optimized geometry
data_ScBiAsN2
_space_group_name_H-M_alt 'P 1'
_space_group_IT_number 1
_space_group_name_Hall 'P 1'
_cell_length_a 4.1251
_cell_length_b 5.2977
_cell_length_c 4.1251
_cell_angle_alpha 90.00
_cell_angle_beta 90.00
_cell_angle_gamma 90.00
loop_
_atom_site_label
_atom_site_type_symbol
_atom_site_fract_x
_atom_site_fract_y
_atom_site_fract_z
Sc1 Sc 0.0000 0.5000 0.0000
As1 As 0.0000 0.0000 0.0000
Bi1 Bi 0.5000 0.5000 0.5000
N1 N 0.0000 0.0000 0.5000
N2 N 0.5000 0.0000 0.0000
# ΔE_f (raw) = 1.07 eV per atom
# Uncorrected energy = -5.23 eV per atom
# Magnetization = 1.4 μB/f.u.



No. 5
# Ba5Mo PBE optimized geometry
data_Ba5Mo
_space_group_name_H-M_alt 'P 1'
_space_group_IT_number 1
_space_group_name_Hall 'P 1'
_cell_length_a 8.4647
_cell_length_b 8.4647
_cell_length_c 6.2461
_cell_angle_alpha 90.00
_cell_angle_beta 90.00
_cell_angle_gamma 138.22
loop_
_atom_site_label
_atom_site_type_symbol
_atom_site_fract_x
_atom_site_fract_y
_atom_site_fract_z
Ba1 Ba 0.3507 0.6493 0.5000
Ba2 Ba 0.1442 0.8558 0.0000
Ba3 Ba 0.0000 0.0000 0.5000
Ba4 Ba 0.8558 0.1442 0.0000
Ba5 Ba 0.6493 0.3507 0.5000
Mo1 Mo 0.5000 0.5000 0.0000
# Energy above the most stable polymorph in this dataset = 78 meV per atom
# Energy of formation from the pure elements = 0.610 eV/atom
# Uncorrected energy = -2.80 eV per atom
# Magnetization = 3.5 μB/f.u.



No. 6
# Hf4Mg9Pb11 PBE optimized geometry
data_Hf4Mg9Pb11
_space_group_name_H-M_alt 'P 1'
_space_group_IT_number 1
_space_group_name_Hall 'P 1'
_cell_length_a 3.3959
_cell_length_b 14.1096
_cell_length_c 14.1096
_cell_angle_alpha 114.55
_cell_angle_beta 90.00
_cell_angle_gamma 90.00
loop_
_atom_site_label
_atom_site_type_symbol
_atom_site_fract_x
_atom_site_fract_y
_atom_site_fract_z
Hf1 Hf 0.5000 0.5573 0.7642
Hf2 Hf 0.5000 0.4427 0.2358
Hf3 Hf 0.5000 0.7642 0.5573
Hf4 Hf 0.5000 0.2358 0.4427
Mg1 Mg 0.5000 0.6279 0.1593
Mg2 Mg 0.5000 0.3721 0.8407
Mg3 Mg 0.5000 0.1593 0.6279
Mg4 Mg 0.5000 0.8407 0.3721
Mg5 Mg 0.5000 0.7935 0.9415
Mg6 Mg 0.5000 0.2065 0.0585
Mg7 Mg 0.5000 0.9415 0.7935
Mg8 Mg 0.5000 0.0585 0.2065
Mg9 Mg 0.5000 0.5000 0.5000
Pb1 Pb 0.0000 0.6000 0.9584
Pb2 Pb 0.0000 0.4000 0.0416
Pb3 Pb 0.0000 0.9584 0.6000
Pb4 Pb 0.0000 0.0416 0.4000
Pb5 Pb 0.0000 0.6276 0.3724
Pb6 Pb 0.0000 0.3724 0.6276
Pb7 Pb 0.0000 0.8367 0.1633
Pb8 Pb 0.0000 0.1633 0.8367
Pb9 Pb 0.0000 0.0000 0.0000
Pb10 Pb 0.0000 0.6976 0.6976
Pb11 Pb 0.0000 0.3024 0.3024
# Energy of formation from the pure elements = 0.038 eV/atom
# Uncorrected energy = -3.92 eV per atom
# Magnetization = 0.0 μB/f.u.



The lowest uncorrected energy belongs to which entry? BeIr2